# 1
The following is a DFT calculation (PBE) of a relaxed ZnBiSe2N crystal.

Unit cell a=5.2119 b=5.2119 c=3.8433 alpha=90.00 beta=90.00 gamma=90.00
Positions (direct):
Se: 0.0000 0.5000 0.0000
Se: 0.5000 0.0000 0.0000
Bi: 0.5000 0.5000 0.5000
N: 0.0000 0.0000 0.5000
Zn: 0.0000 0.0000 0.0000

Values from the calculation:
* raw total energy: -3.533 eV per atom
* SG: P4/mmm
* formation energy (no corrections): 2.784 eV/f.u.

=====

# 2
The following is a DFT calculation (PBE) of a relaxed Ac2HoGa3Au4 crystal.

Unit cell a=4.5432 b=4.5432 c=11.5654 alpha=90.00 beta=90.00 gamma=90.00
Positions (direct):
Au: 0.5000 0.0000 0.6536
Au: 0.0000 0.0000 0.0000
Au: 0.0000 0.5000 0.3464
Au: 0.5000 0.5000 0.0000
Ac: 0.5000 0.0000 0.2251
Ac: 0.0000 0.5000 0.7749
Ga: 0.0000 0.0000 0.5000
Ga: 0.5000 0.0000 0.8787
Ga: 0.0000 0.5000 0.1213
Ho: 0.5000 0.5000 0.5000

Values from the calculation:
* raw total energy: -4.197 eV per atom
* SG: P-4m2
* formation energy: -698 meV/atom